Pu4OsRh2 | PBE | relaxed

The structure in extended XYZ format:
```
14
Lattice="-4.2216 4.2216 4.2520 4.2216 -4.2216 4.2520 4.2216 4.2216 -4.2520" Properties=species:S:1:pos:R:3 pbc="T T T"
Pu 3.6351 2.6852 -1.6882
Pu 5.7580 0.5865 0.4378
Pu 0.5865 2.6852 -0.4378
Pu 0.5865 1.5364 2.5638
Pu 1.5364 -0.5865 5.9401
Pu 3.6351 1.5364 3.8141
Pu 2.6852 4.8081 1.6882
Pu -1.5364 3.6351 4.6898
Os 0.0000 0.0000 0.0000
Os 0.0000 4.2216 2.1260
Rh 2.1108 -1.0028 3.1890
Rh 3.2188 2.1108 1.0630
Rh 2.1108 5.2244 -1.0630
Rh 1.0028 2.1108 5.3150
```

* energy of formation: -5.53 kcal/mol of atoms
* E: -12.134 eV per atom
* total magnetization: 39.7 μB/cell
* theoretical density: 15.0 g/cm³